No. 1
Computed, not measured: a relaxed K2Hg12Au7 crystal at the GGA-PBE level of DFT.

Unit cell a=4.5199 b=11.6636 c=11.6636 alpha=120.00 beta=90.00 gamma=90.00
Element x y z (fractional)
K (0.2471, 0.3333, 0.6667)
K (0.7529, 0.6667, 0.3333)
Hg (0.2568, 0.6223, 0.0665)
Hg (0.2568, 0.4442, 0.3777)
Hg (0.2568, 0.9335, 0.5558)
Hg (0.7432, 0.3777, 0.9335)
Hg (0.7432, 0.5558, 0.6223)
Hg (0.7432, 0.0665, 0.4442)
Hg (0.2360, 0.1204, 0.2561)
Hg (0.2360, 0.1357, 0.8796)
Hg (0.2360, 0.7439, 0.8643)
Hg (0.7640, 0.8796, 0.7439)
Hg (0.7640, 0.8643, 0.1204)
Hg (0.7640, 0.2561, 0.1357)
Au (0.5000, 0.0000, 0.0000)
Au (0.2479, 0.8846, 0.2915)
Au (0.2479, 0.4069, 0.1154)
Au (0.2479, 0.7085, 0.5931)
Au (0.7521, 0.1154, 0.7085)
Au (0.7521, 0.5931, 0.8846)
Au (0.7521, 0.2915, 0.4069)

Calculated values
The value obtained for the formation energy is -7.2 kJ per mole of atoms.

=====

No. 2
Computed, not measured: a relaxed Ho3Re crystal at the GGA-PBE level of DFT.

Unit cell a=3.5944 b=5.2509 c=6.2657 alpha=114.77 beta=106.67 gamma=90.00
Element x y z (fractional)
Re (0.0000, 0.9241, 0.0000)
Ho (0.2987, 0.7122, 0.5973)
Ho (0.5000, 0.4155, 0.0000)
Ho (0.7013, 0.1149, 0.4027)

Calculated values
The value obtained for the formation energy is 13.1 kJ per mole of atoms.

=====

No. 3
Computed, not measured: a relaxed Na2AlHPb crystal at the GGA-PBE level of DFT.

Unit cell a=4.4484 b=4.4484 c=5.0349 alpha=90.00 beta=90.00 gamma=90.00
Element x y z (fractional)
Pb (0.5000, 0.5000, 0.5000)
Na (0.0000, 0.5000, 0.0000)
Na (0.5000, 0.0000, 0.0000)
Al (0.0000, 0.0000, 0.5000)
H (0.0000, 0.0000, 0.0000)

Calculated values
The uncorrected energy comes out at -13.186 eV/f.u.

=====

No. 4
Computed, not measured: a relaxed Pu3AlGa4 crystal at the GGA-PBE level of DFT.

Unit cell a=2.4597 b=5.5307 c=10.6370 alpha=105.07 beta=96.64 gamma=90.00
Element x y z (fractional)
Pu (0.2370, 0.2370, 0.4740)
Pu (0.7630, 0.7630, 0.5260)
Pu (0.0000, 0.5000, 0.0000)
Al (0.5000, 0.0000, 0.0000)
Ga (0.3787, 0.6255, 0.7574)
Ga (0.6213, 0.3745, 0.2426)
Ga (0.6213, 0.8680, 0.2426)
Ga (0.3787, 0.1320, 0.7574)

Calculated values
The value obtained for the formation energy is 6.8 kJ per mole of atoms.

=====

No. 5
Computed, not measured: a relaxed NaAlBr2 crystal at the GGA-PBE level of DFT.

Unit cell a=6.7669 b=6.7669 c=8.5143 alpha=66.59 beta=66.59 gamma=90.00
Element x y z (fractional)
Na (0.5000, 0.5000, 0.0000)
Na (0.2500, 0.7500, 0.5000)
Al (0.0000, 0.0000, 0.0000)
Al (0.7500, 0.2500, 0.5000)
Br (0.6047, 0.1250, 0.2500)
Br (0.1453, 0.6250, 0.2500)
Br (0.3750, 0.3953, 0.7500)
Br (0.8750, 0.8547, 0.7500)

Calculated values
The calculation puts the energy relative to the lowest polymorph listed for this composition at 0.000 eV/atom. The formation energy from raw total energies comes out at -0.7502 eV per atom.

=====

No. 6
Computed, not measured: a relaxed TcTe2Br8 crystal at the GGA-PBE level of DFT.

Unit cell a=7.9081 b=7.9081 c=10.5321 alpha=87.88 beta=87.88 gamma=56.43
Element x y z (fractional)
Tc (0.0000, 0.0000, 0.0000)
Te (0.7937, 0.7937, 0.3552)
Te (0.2063, 0.2063, 0.6448)
Br (0.8508, 0.3189, 0.8705)
Br (0.6811, 0.1492, 0.1295)
Br (0.7179, 0.7179, 0.5790)
Br (0.2821, 0.2821, 0.4210)
Br (0.3189, 0.8508, 0.8705)
Br (0.1492, 0.6811, 0.1295)
Br (0.6451, 0.6451, 0.2326)
Br (0.3549, 0.3549, 0.7674)

Calculated values
The formation energy from raw total energies comes out at -0.1453 eV per atom.